(1)
This record from the Alexandria database describes a PBEsol-optimized structure of ScZn2CuO. The functional is meta-GGA SCAN.

extended XYZ file:
```
5
Lattice="4.271 0.000 0.000 0.000 4.271 0.000 0.000 0.000 3.983" Properties=species:S:1:pos:R:3 pbc="T T T"
Sc 0.000 0.000 0.000
Zn 0.000 2.136 1.991
Zn 2.136 0.000 1.991
Cu 2.136 2.136 0.000
O 0.000 0.000 1.991
```

**Total magnetization**: 0.00 μB/f.u.
**Space-group type**: No. 123
**Uncorrected energy**: -13.199 eV per atom
**D(E_F)**: 1.8 states/eV/cell
**E_form (uncorrected)**: -659.5 meV per atom
**Theoretical density**: 5.8 g cm⁻³

(2)
This record from the Alexandria database describes a PBEsol-optimized structure of Cu2SeO4. The functional is meta-GGA SCAN.

extended XYZ file:
```
28
Lattice="6.988 0.000 0.000 0.000 5.874 0.000 -6.652 0.000 8.327" Properties=species:S:1:pos:R:3 pbc="T T T"
Cu 0.000 0.000 0.000
Cu -3.326 2.937 4.164
Cu -1.690 1.154 2.143
Cu -5.016 1.783 6.306
Cu 3.494 0.000 0.000
Cu 0.168 2.937 4.164
Cu 5.352 4.090 2.021
Cu 2.026 4.720 6.185
Se 1.653 3.380 0.850
Se -1.674 5.430 5.013
Se 2.009 0.443 3.314
Se -1.317 2.494 7.478
O -5.446 3.342 7.470
O -2.120 5.468 3.306
O -4.911 0.251 7.546
O -1.585 2.686 3.382
O -2.709 4.154 5.546
O 0.617 4.657 1.383
O 0.494 1.259 3.329
O -2.832 1.678 7.493
O 3.168 4.196 0.834
O -0.158 4.615 4.998
O -0.282 1.217 6.945
O 3.045 1.720 2.781
O 1.921 3.188 4.945
O 5.247 5.623 0.781
O 2.455 0.405 5.021
O 5.781 2.532 0.857
```

**Total magnetization**: 0.98 μB/f.u.
**Space-group type**: No. 14
**Uncorrected energy**: -11.616 eV per atom
**E_form (uncorrected)**: -844.7 meV per atom
**Theoretical density**: 5.2 g cm⁻³
**Relative energy among the computed polymorphs**: 0 meV/atom

(3)
This record from the Alexandria database describes a PBEsol-optimized structure of CuSeO3. The functional is meta-GGA SCAN.

extended XYZ file:
```
20
Lattice="5.293 0.000 0.000 0.000 8.940 0.000 -4.792 0.000 5.700" Properties=species:S:1:pos:R:3 pbc="T T T"
Cu -1.095 0.143 2.028
Cu -3.491 4.327 4.878
Cu 3.992 4.613 0.822
Cu 1.596 8.797 3.672
Se -1.256 6.317 3.458
Se 1.140 7.094 0.608
Se -0.639 1.846 5.093
Se 1.757 2.624 2.242
O -0.267 1.226 0.728
O -2.663 3.245 3.578
O 0.448 5.428 0.549
O -1.948 7.983 3.399
O -2.147 5.709 4.828
O 0.250 7.701 1.978
O 0.251 1.239 3.722
O 2.648 3.231 0.872
O 2.449 0.958 2.301
O 0.053 3.513 5.151
O 3.164 5.696 2.123
O 0.768 7.715 4.973
```

**Total magnetization**: 0.00 μB/f.u.
**Space-group type**: No. 14
**Uncorrected energy**: -11.566 eV per atom
**D(E_F)**: 2.9 states/eV/cell
**E_form (uncorrected)**: -771.5 meV per atom
**Theoretical density**: 4.7 g cm⁻³